A geometry-optimized La2Ho6Mg structure, computed with GGA-PBE.

a = 3.550 Å, b = 3.550 Å, c = 26.340 Å
α = 90.00°, β = 90.00°, γ = 120.00°
Sites, in units of the cell vectors:
Ho 0.333 0.667 0.437
Ho 0.333 0.667 0.563
Ho 0.333 0.667 0.209
Ho 0.333 0.667 0.791
La 0.667 0.333 0.327
La 0.667 0.333 0.673
Ho 0.667 0.333 0.896
Mg 0.333 0.667 0.000
Ho 0.667 0.333 0.104

## Properties
* offset from the most stable computed form: 0.009 eV per atom
* space-group type: No. 187
* final energy: -4.24 eV/atom
* DOS at the Fermi energy: 13.27 states/eV per cell
* total magnetization: 0.0000 μB/atom
* E_form: 85.1 meV per atom